Record 1
In5Pt2Pb4: relaxed, GGA-PBE.

Calculated values
DFT formation energy (kJ/mol of formula units): -121
E (eV/atom): -3.805
Total moment (μB/atom): 0.000

a b c (Å): 7.9310 20.0635 3.5778
angles (deg): 90.00 90.00 90.00
With the nearest neighbours (Å) after each atom.
Space group Pbam (No. 55)
Inequivalent atoms, fractional coordinates:
In1 0.0000 0.0000 0.0000 x2  8 Pb 3.38-3.49, 4 In 3.48-3.58
In2 0.1558 0.3922 0.0000 x4  2 Pt 2.83
In3 0.1581 0.7157 0.0000 x4  4 Pt 2.83-2.87
Pt1 0.1252 0.2835 0.5000 x4  6 In 2.83-2.87, 1 Pb 2.90
Pb1 0.0114 0.8508 0.5000 x4  2 Pt 2.90-3.18
Pb2 0.1628 0.5512 0.5000 x4  6 In 3.30-3.66, 4 Pb 3.30-3.58

Record 2
InPt2Pb: relaxed, GGA-PBE.

Calculated values
DFT formation energy (kJ/mol of formula units): -63
E (eV/atom): -4.795
Total moment (μB/atom): 0.000

a b c (Å): 4.0174 4.0174 18.8696
angles (deg): 90.00 90.00 120.00
With the nearest neighbours (Å) after each atom.
Space group R-3m (No. 166, hexagonal axes)
Inequivalent atoms, fractional coordinates:
In1 0.0000 0.0000 0.0000 x3  6 Pt 2.74
Pt1 0.0000 0.0000 0.2558 x6  3 In 2.74, 3 Pb 2.87
Pb1 0.0000 0.0000 0.5000 x3  6 Pt 2.87